# 1
Entry from Alexandria via LeMat-Bulk: crystalline MoHNF2 at its relaxed geometry (PBE with a Hubbard U).

Unit cell a=4.1911 b=4.1911 c=3.9528 alpha=90.00 beta=90.00 gamma=90.00
Space group P4/mmm (No. 123)
Symmetry-distinct sites (fractional):
1 Mo 0.0000 0.0000 0.0000
2 H 0.5000 0.5000 0.5000
3 N 0.0000 0.0000 0.5000
4 F 0.0000 0.5000 0.0000

Summary:
**Uncorrected energy**: -5.045 eV per atom
**Relative energy among the computed polymorphs**: 0 meV/atom
**Size of the total moment**: 2.00 μB/f.u.

=====

# 2
Entry from Alexandria via LeMat-Bulk: crystalline MoHN2F at its relaxed geometry (PBE with a Hubbard U).

Unit cell a=3.3017 b=3.3017 c=3.7205 alpha=90.00 beta=90.00 gamma=90.00
Space group P4/mmm (No. 123)
Symmetry-distinct sites (fractional):
1 Mo 0.0000 0.0000 0.0000
2 H 0.5000 0.5000 0.5000
3 N 0.0000 0.5000 0.5000
4 F 0.5000 0.5000 0.0000

Summary:
**Uncorrected energy**: -4.782 eV per atom
**Relative energy among the computed polymorphs**: 503 meV/atom
**Size of the total moment**: 1.91 μB/f.u.

=====

# 3
Entry from Alexandria via LeMat-Bulk: crystalline MoH8N3F6 at its relaxed geometry (PBE with a Hubbard U).

Unit cell a=9.4354 b=9.4354 c=9.4354 alpha=90.00 beta=90.00 gamma=90.00
Space group Fm-3m (No. 225)
Symmetry-distinct sites (fractional):
1 Mo 0.0000 0.0000 0.0000
2 H 0.1870 0.1870 0.1870
3 N 0.0000 0.0000 0.5000
4 N 0.2500 0.2500 0.2500
5 F 0.0000 0.0000 0.2116

Summary:
**Uncorrected energy**: -4.869 eV per atom
**Size of the total moment**: 5.00 μB/f.u.

=====

# 4
Entry from Alexandria via LeMat-Bulk: crystalline MoHNF2 at its relaxed geometry (PBE with a Hubbard U).

Unit cell a=3.1591 b=3.1591 c=4.5179 alpha=90.00 beta=90.00 gamma=90.00
Space group P4/mmm (No. 123)
Symmetry-distinct sites (fractional):
1 Mo 0.0000 0.0000 0.0000
2 H 0.5000 0.5000 0.5000
3 N 0.5000 0.5000 0.0000
4 F 0.0000 0.5000 0.5000

Summary:
**Uncorrected energy**: -4.724 eV per atom
**Relative energy among the computed polymorphs**: 320 meV/atom
**Size of the total moment**: 2.00 μB/f.u.